The following is a DFT calculation (GGA-PBE) of crystalline Mn5BeSi2Mo2 at its relaxed geometry.

Its crystal system is tetragonal.

The structure in CIF format:
```
data_Mn5BeSi2Mo2
_cell_length_a 8.989
_cell_length_b 8.989
_cell_length_c 2.950
_cell_angle_alpha 90.00
_cell_angle_beta 90.00
_cell_angle_gamma 90.00
_space_group_name_H-M_alt 'P 4/m b m'
_space_group_IT_number 127
_space_group_name_Hall '-P 4 2ab'
loop_
_atom_site_label
_atom_site_fract_x
_atom_site_fract_y
_atom_site_fract_z
Mn1 0.000 0.500 0.000
Mn2 0.042 0.189 0.000
Be1 0.000 0.000 0.500
Si1 0.133 0.367 0.500
Mo1 0.173 0.673 0.500
```

=====

The following is a DFT calculation (GGA-PBE) of crystalline MnBeTcMo at its relaxed geometry.

Its crystal system is cubic. The value obtained for the formation energy is 0.02 eV/atom.

The structure in CIF format:
```
data_MnBeTcMo
_cell_length_a 5.917
_cell_length_b 5.917
_cell_length_c 5.917
_cell_angle_alpha 90.00
_cell_angle_beta 90.00
_cell_angle_gamma 90.00
_space_group_name_H-M_alt 'F -4 3 m'
_space_group_IT_number 216
_space_group_name_Hall 'F -4 2 3'
loop_
_atom_site_label
_atom_site_fract_x
_atom_site_fract_y
_atom_site_fract_z
Mn1 0.000 0.000 0.000
Be1 0.250 0.250 0.750
Tc1 0.000 0.000 0.500
Mo1 0.250 0.250 0.250
```

=====

The following is a DFT calculation (GGA-PBE) of crystalline TiMnBe2Mo at its relaxed geometry.

Its crystal system is tetragonal. The value obtained for the formation energy is 1.78 eV/atom.

The structure in CIF format:
```
data_TiMnBe2Mo
_cell_length_a 4.301
_cell_length_b 4.301
_cell_length_c 4.351
_cell_angle_alpha 90.00
_cell_angle_beta 90.00
_cell_angle_gamma 90.00
_space_group_name_H-M_alt 'P 4/m m m'
_space_group_IT_number 123
_space_group_name_Hall '-P 4 2'
loop_
_atom_site_label
_atom_site_fract_x
_atom_site_fract_y
_atom_site_fract_z
Ti1 0.000 0.000 0.000
Mn1 0.500 0.500 0.500
Be1 0.000 0.500 0.000
Mo1 0.000 0.000 0.500
```

=====

The following is a DFT calculation (GGA-PBE) of crystalline TiMnBeMo at its relaxed geometry.

Its crystal system is cubic. The value obtained for the formation energy is -0.04 eV/atom.

The structure in CIF format:
```
data_TiMnBeMo
_cell_length_a 5.907
_cell_length_b 5.907
_cell_length_c 5.907
_cell_angle_alpha 90.00
_cell_angle_beta 90.00
_cell_angle_gamma 90.00
_space_group_name_H-M_alt 'F -4 3 m'
_space_group_IT_number 216
_space_group_name_Hall 'F -4 2 3'
loop_
_atom_site_label
_atom_site_fract_x
_atom_site_fract_y
_atom_site_fract_z
Ti1 0.000 0.000 0.000
Mn1 0.250 0.250 0.750
Be1 0.250 0.250 0.250
Mo1 0.000 0.000 0.500
```

=====

The following is a DFT calculation (GGA-PBE) of crystalline Mn2BeN at its relaxed geometry.

Its crystal system is trigonal.

The structure in CIF format:
```
data_Mn2BeN
_cell_length_a 2.6124
_cell_length_b 2.6124
_cell_length_c 20.2363
_cell_angle_alpha 90.00
_cell_angle_beta 90.00
_cell_angle_gamma 120.00
_space_group_name_H-M_alt 'R -3 m'
_space_group_IT_number 166
_space_group_name_Hall '-R 3 2"'
loop_
_atom_site_label
_atom_site_fract_x
_atom_site_fract_y
_atom_site_fract_z
Mn1 0.0000 0.0000 0.1073
Be1 0.0000 0.0000 0.0000
N1 0.0000 0.0000 0.5000
```

=====

The following is a DFT calculation (GGA-PBE) of crystalline MnBeN at its relaxed geometry.

Its crystal system is tetragonal.

The structure in CIF format:
```
data_MnBeN
_cell_length_a 3.128
_cell_length_b 3.128
_cell_length_c 6.001
_cell_angle_alpha 90.00
_cell_angle_beta 90.00
_cell_angle_gamma 90.00
_space_group_name_H-M_alt 'P 42/m m c'
_space_group_IT_number 131
_space_group_name_Hall '-P 4c 2'
loop_
_atom_site_label
_atom_site_fract_x
_atom_site_fract_y
_atom_site_fract_z
Mn1 0.000 0.000 0.250
Be1 0.500 0.500 0.000
N1 0.000 0.500 0.000
```

=====

The following is a DFT calculation (GGA-PBE) of crystalline MnBe2N at its relaxed geometry.

Its crystal system is tetragonal.

The structure in CIF format:
```
data_MnBe2N
_cell_length_a 5.834
_cell_length_b 5.834
_cell_length_c 4.004
_cell_angle_alpha 90.00
_cell_angle_beta 90.00
_cell_angle_gamma 90.00
_space_group_name_H-M_alt 'I -4 2 d'
_space_group_IT_number 122
_space_group_name_Hall 'I -4 2bw'
loop_
_atom_site_label
_atom_site_fract_x
_atom_site_fract_y
_atom_site_fract_z
Mn1 0.000 0.000 0.000
Be1 0.145 0.250 0.625
N1 0.000 0.000 0.500
```

=====

The following is a DFT calculation (GGA-PBE) of crystalline Mn2BeN at its relaxed geometry.

Its crystal system is tetragonal.

The structure in CIF format:
```
data_Mn2BeN
_cell_length_a 6.369
_cell_length_b 6.369
_cell_length_c 3.694
_cell_angle_alpha 90.00
_cell_angle_beta 90.00
_cell_angle_gamma 90.00
_space_group_name_H-M_alt 'I -4 2 d'
_space_group_IT_number 122
_space_group_name_Hall 'I -4 2bw'
loop_
_atom_site_label
_atom_site_fract_x
_atom_site_fract_y
_atom_site_fract_z
Mn1 0.142 0.750 0.125
Be1 0.000 0.000 0.500
N1 0.000 0.000 0.000
```

=====

The following is a DFT calculation (GGA-PBE) of crystalline Mn3BeN at its relaxed geometry.

Its crystal system is cubic.

The structure in CIF format:
```
data_Mn3BeN
_cell_length_a 3.705
_cell_length_b 3.705
_cell_length_c 3.705
_cell_angle_alpha 90.00
_cell_angle_beta 90.00
_cell_angle_gamma 90.00
_space_group_name_H-M_alt 'P m -3 m'
_space_group_IT_number 221
_space_group_name_Hall '-P 4 2 3'
loop_
_atom_site_label
_atom_site_fract_x
_atom_site_fract_y
_atom_site_fract_z
Mn1 0.000 0.000 0.500
Be1 0.500 0.500 0.500
N1 0.000 0.000 0.000
```

=====

The following is a DFT calculation (GGA-PBE) of crystalline Mn2BeN at its relaxed geometry.

Its crystal system is cubic.

The structure in CIF format:
```
data_Mn2BeN
_cell_length_a 5.185
_cell_length_b 5.185
_cell_length_c 5.185
_cell_angle_alpha 90.00
_cell_angle_beta 90.00
_cell_angle_gamma 90.00
_space_group_name_H-M_alt 'F m -3 m'
_space_group_IT_number 225
_space_group_name_Hall '-F 4 2 3'
loop_
_atom_site_label
_atom_site_fract_x
_atom_site_fract_y
_atom_site_fract_z
Mn1 0.250 0.250 0.250
Be1 0.000 0.000 0.000
N1 0.000 0.000 0.500
```

=====

Number 1: VASP energy -165.3 eV/cell. Number 2: VASP energy -136.0 eV/cell. Number 3: VASP energy -26.4 eV/cell. Number 4: VASP energy -127.2 eV/cell. Number 5: VASP energy -88.0 eV/cell. Number 6: VASP energy -43.5 eV/cell. Number 7: VASP energy -101.6 eV/cell. Number 8: VASP energy -120.8 eV/cell. Number 9: VASP energy -40.4 eV/cell. Number 10: VASP energy -111.2 eV/cell.